Entry 1:
Sm4Dy3Ho5: relaxed, PBE.

POSCAR file:
```
Sm4Dy3Ho5
1.0
8.0195 -2.9499 0.0000
8.0195 2.9499 0.0000
-4.1505 0.0000 8.3327
Sm Dy Ho
4 3 5
Cartesian
-0.5111 0.0000 3.6990
-0.2154 0.0000 7.3401
12.1040 0.0000 0.9927
12.3996 0.0000 4.6338
2.4059 0.0000 1.9518
8.0195 0.0000 0.0000
9.4827 0.0000 6.3810
0.0000 0.0000 0.0000
2.7123 0.0000 5.1196
5.6242 0.0000 2.4935
6.2643 0.0000 5.8392
9.1762 0.0000 3.2131
```

Calculated values
Energy of formation = 233.3 meV per atom
Calculated volume = 394.3 Å³/f.u.
Total energy = -4.398 eV/atom
ΔE to the lowest computed polymorph = 2.601 eV per formula unit

Entry 2:
Nd3Zn2Si3: relaxed, PBE.

POSCAR file:
```
Nd3Zn2Si3
1.0
2.0902 -5.5281 0.0000
2.0902 5.5281 0.0000
0.0000 0.0000 15.3279
Nd Zn Si
6 4 6
Cartesian
2.0902 4.9202 11.4959
2.0902 1.6029 9.1121
2.0902 1.6029 13.8797
2.0902 -1.6029 1.4481
2.0902 -1.6029 6.2158
2.0902 -4.9202 3.8320
2.0902 1.6078 1.8050
2.0902 1.6078 5.8589
2.0902 -1.6078 9.4690
2.0902 -1.6078 13.5228
2.0902 4.7040 8.4979
2.0902 4.7040 14.4940
2.0902 3.0854 3.8320
2.0902 -3.0854 11.4959
2.0902 -4.7040 0.8339
2.0902 -4.7040 6.8300
```

Calculated values
Calculated volume = 177.1 Å³/f.u.
Total energy = -4.742 eV/atom
Raw formation energy = -465 kJ/mol of formula units

Entry 3:
ErZrRh: relaxed, PBE.

POSCAR file:
```
ErZrRh
1.0
6.0069 0.0000 0.0000
0.0000 7.0423 0.0000
-0.6981 0.0000 6.5223
Er Zr Rh
4 4 4
Cartesian
0.5810 1.6663 0.0090
0.2320 1.8549 3.2702
5.0769 5.1874 3.2522
4.7279 5.3760 6.5134
2.2337 4.2696 1.5028
1.8847 6.2938 4.7639
3.4242 0.7485 1.7584
3.0752 2.7727 5.0196
0.7670 3.9572 5.2532
1.1160 6.6062 1.9920
4.1928 0.4361 4.5304
4.5419 3.0851 1.2692
```

Calculated values
Energy of formation = -461.4 meV per atom
Calculated volume = 69.0 Å³/f.u.
Total energy = -7.282 eV/atom
ΔE to the lowest computed polymorph = 0.074 eV per formula unit

Entry 4:
Y2WI: relaxed, PBE.

POSCAR file:
```
Y2WI
1.0
6.6695 0.0000 0.0000
0.0000 6.6695 0.0000
0.0000 0.0000 13.1821
Y W I
8 4 4
Cartesian
1.2096 1.6674 1.6478
1.6674 4.5444 4.9433
1.6674 5.4599 11.5343
2.1252 1.6674 8.2388
4.5444 5.0021 8.2388
5.0021 1.2096 11.5343
5.0021 2.1252 4.9433
5.4599 5.0021 1.6478
0.0000 0.0000 0.0000
0.0000 3.3348 3.2955
3.3348 0.0000 9.8866
3.3348 3.3348 6.5910
0.0000 0.0000 6.5910
0.0000 3.3348 9.8866
3.3348 0.0000 3.2955
3.3348 3.3348 0.0000
```

Calculated values
Calculated volume = 146.6 Å³/f.u.
Total energy = -5.923 eV/atom
Raw formation energy = 361 kJ/mol of formula units
ΔE to the lowest computed polymorph = 1.759 eV per formula unit

Entry 5:
Ba2SrRuO5: relaxed, PBE.

POSCAR file:
```
Ba2SrRuO5
1.0
-1.9217 3.0644 6.3446
1.9217 -3.0644 6.3446
1.9217 3.0644 -6.3446
Ba Sr Ru O
2 1 1 5
Cartesian
0.0000 0.0000 2.6973
0.0000 0.0000 9.9919
0.0000 3.0644 0.0000
1.9217 0.0000 0.0000
0.0000 0.0000 0.0000
1.9217 1.4986 -1.4699
1.9217 1.4986 1.4699
0.0000 1.5658 4.8748
0.0000 1.5658 7.8145
```

Calculated values
Calculated volume = 149.5 Å³/f.u.
Total energy = -6.450 eV/atom
Raw formation energy = -1781 kJ/mol of formula units

Entry 6:
RbThCl6: relaxed, PBE.

POSCAR file:
```
RbThCl6
1.0
3.6174 2.0885 6.8151
-3.6174 2.0885 6.8151
0.0000 -4.1770 6.8151
Rb Th Cl
1 1 6
Cartesian
0.0000 0.0000 0.0000
0.0000 0.0000 10.2226
-1.8554 -1.0712 8.6019
0.0000 -2.1425 11.8434
-1.8554 1.0712 11.8434
1.8554 -1.0712 8.6019
0.0000 2.1425 8.6019
1.8554 1.0712 11.8434
```

Calculated values
Calculated volume = 308.9 Å³/f.u.
Total energy = -4.139 eV/atom
Raw formation energy = -1316 kJ/mol of formula units

Entry 7:
BaGaAsBr2: relaxed, PBE.

POSCAR file:
```
BaGaAsBr2
1.0
5.6928 0.0000 0.0000
0.0000 5.6928 0.0000
0.0000 0.0000 5.0994
Ba Ga As Br
1 1 1 2
Cartesian
0.0000 0.0000 0.0000
2.8464 2.8464 0.0000
2.8464 2.8464 2.5497
0.0000 2.8464 2.5497
2.8464 0.0000 2.5497
```

Calculated values
Calculated volume = 165.3 Å³/f.u.
Total energy = -3.097 eV/atom
Raw formation energy = -245 kJ/mol of formula units
ΔE to the lowest computed polymorph = 1.682 eV per formula unit

Entry 8:
AlGa3Ni12: relaxed, PBE.

POSCAR file:
```
AlGa3Ni12
1.0
3.5768 0.0000 0.0000
0.0000 3.5768 0.0000
0.0000 0.0000 14.3204
Al Ga Ni
1 3 12
Cartesian
0.0000 0.0000 0.0000
0.0000 0.0000 3.5751
0.0000 0.0000 7.1602
0.0000 0.0000 10.7453
0.0000 1.7884 1.7769
0.0000 1.7884 5.3661
0.0000 1.7884 8.9543
0.0000 1.7884 12.5434
1.7884 0.0000 1.7769
1.7884 0.0000 5.3661
1.7884 0.0000 8.9543
1.7884 0.0000 12.5434
1.7884 1.7884 0.0000
1.7884 1.7884 3.5722
1.7884 1.7884 7.1602
1.7884 1.7884 10.7481
```

Calculated values
Energy of formation = -323.5 meV per atom
Calculated volume = 183.2 Å³/f.u.
Total energy = -5.461 eV/atom

Entry 9:
Ac3Nd2Cd: relaxed, PBE.

POSCAR file:
```
Ac3Nd2Cd
1.0
6.0184 0.0000 0.0000
0.0000 18.8388 0.0000
0.0000 0.0000 4.0025
Ac Nd Cd
6 4 2
Cartesian
0.0000 0.0000 0.0000
0.0000 3.4492 2.0013
0.0000 15.3895 2.0013
3.0092 5.9702 2.0013
3.0092 9.4194 0.0000
3.0092 12.8686 2.0013
0.0000 6.7867 0.0000
0.0000 12.0521 0.0000
3.0092 2.6327 0.0000
3.0092 16.2060 0.0000
0.0000 9.4194 2.0013
3.0092 0.0000 2.0013
```

Calculated values
Energy of formation = -84.1 meV per atom
Calculated volume = 226.9 Å³/f.u.
Total energy = -3.880 eV/atom

Entry 10:
ZrCr2Te: relaxed, PBE.

POSCAR file:
```
ZrCr2Te
1.0
3.2869 0.0000 0.0000
-1.6435 2.8466 0.0000
0.0000 0.0000 26.2128
Zr Cr Te
3 6 3
Cartesian
0.0000 0.0000 0.0000
0.0000 1.8977 17.4752
1.6435 0.9489 8.7376
0.0000 0.0000 6.5338
0.0000 0.0000 19.6790
0.0000 1.8977 10.9413
0.0000 1.8977 24.0090
1.6435 0.9489 2.2038
1.6435 0.9489 15.2714
0.0000 0.0000 13.1064
0.0000 1.8977 4.3688
1.6435 0.9489 21.8440
```

Calculated values
Calculated volume = 81.8 Å³/f.u.
Total energy = -7.262 eV/atom
Raw formation energy = 182 kJ/mol of formula units

Entry 11:
BaSrSe2: relaxed, PBE.

POSCAR file:
```
BaSrSe2
1.0
7.8556 0.0000 0.0000
0.0000 7.8508 0.0000
-0.0108 0.0000 3.9246
Ba Sr Se
2 2 4
Cartesian
0.0000 0.0000 0.0000
3.9278 3.9254 0.0000
0.0000 3.9254 0.0000
3.9278 0.0000 0.0000
1.9585 1.9627 1.9623
1.9585 5.8881 1.9623
5.8863 1.9627 1.9623
5.8863 5.8881 1.9623
```

Calculated values
Calculated volume = 121.0 Å³/f.u.
Total energy = -4.447 eV/atom
Raw formation energy = -696 kJ/mol of formula units
ΔE to the lowest computed polymorph = 0.987 eV per formula unit

Entry 12:
Gd2DyTh: relaxed, PBE.

POSCAR file:
```
Gd2DyTh
1.0
3.5685 0.0000 0.0000
0.0000 3.5685 0.0000
0.0000 0.0000 10.1151
Gd Dy Th
2 1 1
Cartesian
0.0000 0.0000 2.4697
0.0000 0.0000 7.6454
1.7842 1.7842 5.0575
1.7842 1.7842 0.0000
```

Calculated values
Energy of formation = 37.6 meV per atom
Calculated volume = 128.8 Å³/f.u.
Total energy = -10.008 eV/atom
ΔE to the lowest computed polymorph = 0.000 eV per formula unit